3
Lattice="-2.077 2.077 4.420 2.077 -2.077 4.420 2.077 2.077 -4.420" Properties=species:S:1:pos:R:3 comment="PuGaSn (PBE-GGA, optimized geometry)" dft_energy_ev_per_atom=-7.1624 m_tot_mub_per_fu=5.61 relative_energy_mev_per_atom=265 dos_ef_per_ev_atom=3.873 ef_ev_per_atom=-0.0419 pbc="T T T"
Pu 0.000 0.000 0.000
Ga 0.000 0.000 2.956
Sn 0.000 0.000 5.789

12
Lattice="-3.641 7.442 3.723 3.641 -7.442 3.723 3.641 7.442 -3.723" Properties=species:S:1:pos:R:3 comment="Y3HoTl2 (PBE-GGA, optimized geometry)" dft_energy_ev_per_atom=-4.8037 m_tot_mub_per_fu=0.36 relative_energy_mev_per_atom=276 dos_ef_per_ev_atom=1.228 ef_ev_per_atom=-0.0200 pbc="T T T"
Y 3.641 -3.286 1.862
Y 0.000 0.000 1.862
Y 3.641 3.286 1.862
Y 0.000 4.156 1.862
Y 0.000 0.000 5.585
Y 0.000 10.728 1.862
Ho 3.641 0.000 0.000
Ho 0.000 7.442 0.000
Tl 1.422 2.042 0.000
Tl 1.422 -2.042 3.723
Tl 2.219 9.484 0.000
Tl 2.219 5.401 3.723

14
Lattice="4.887 0.000 0.000 0.000 5.101 0.000 -1.497 0.000 5.430" Properties=species:S:1:pos:R:3 comment="Li2ZnH4 (PBE-GGA, optimized geometry)" dft_energy_ev_per_atom=-2.8334 m_tot_mub_per_fu=0.00 relative_energy_mev_per_atom=24 dos_ef_per_ev_atom=0.000 pbc="T T T"
Li 0.879 1.275 0.172
Li 0.421 1.275 3.098
Li 2.968 3.826 2.332
Li 2.511 3.826 5.258
Zn 0.103 3.826 4.399
Zn 3.287 1.275 1.031
H -0.906 0.006 4.083
H -0.906 2.544 4.083
H 2.039 3.826 0.546
H 1.466 3.826 3.505
H 1.924 1.275 1.925
H 1.351 1.275 4.885
H 4.296 2.557 1.348
H 4.296 5.095 1.348

12
Lattice="7.429 0.000 0.000 0.000 7.429 0.000 0.000 0.000 9.367" Properties=species:S:1:pos:R:3 comment="HgAuI4 (PBE-GGA, optimized geometry)" dft_energy_ev_per_atom=-1.7159 m_tot_mub_per_fu=0.78 relative_energy_mev_per_atom=0 e_form_raw_mev_per_atom=-86 dos_ef_per_ev_atom=0.758 pbc="T T T"
Hg 0.000 0.000 0.000
Hg 0.000 0.000 4.683
Au 0.000 3.714 2.342
Au 3.714 0.000 7.025
I 1.777 1.868 3.345
I 1.777 5.561 1.338
I 1.868 1.777 8.028
I 1.868 5.652 6.022
I 5.561 1.777 6.022
I 5.561 5.652 8.028
I 5.652 1.868 1.338
I 5.652 5.561 3.345

4
Lattice="4.754 0.000 0.000 0.000 4.754 0.000 0.000 0.000 4.754" Properties=species:S:1:pos:R:3 comment="Lu3Hf (PBE-GGA, optimized geometry)" dft_energy_ev_per_atom=-5.7592 m_tot_mub_per_fu=0.00 relative_energy_mev_per_atom=57 dos_ef_per_ev_atom=1.476 ef_ev_per_atom=0.1200 pbc="T T T"
Lu 0.000 0.000 2.377
Lu 0.000 2.377 0.000
Lu 2.377 0.000 0.000
Hf 2.377 2.377 2.377

4
Lattice="0.000 3.703 3.703 3.703 0.000 3.703 3.703 3.703 0.000" Properties=species:S:1:pos:R:3 comment="CeGdAg2 (PBE-GGA, optimized geometry)" dft_energy_ev_per_atom=-6.5956 m_tot_mub_per_fu=8.35 relative_energy_mev_per_atom=7 dos_ef_per_ev_atom=2.552 ef_ev_per_atom=-0.1663 pbc="T T T"
Ce 0.000 0.000 0.000
Gd 3.703 3.703 3.703
Ag 1.851 1.851 1.851
Ag 5.554 5.554 5.554

5
Lattice="4.393 0.000 0.000 0.000 4.393 0.000 0.000 0.000 5.799" Properties=species:S:1:pos:R:3 comment="KMgIO2 (PBE-GGA, optimized geometry)" dft_energy_ev_per_atom=-3.5966 m_tot_mub_per_fu=0.78 relative_energy_mev_per_atom=0 e_form_raw_mev_per_atom=-765 dos_ef_per_ev_atom=1.305 pbc="T T T"
K 0.000 0.000 0.000
Mg 2.196 2.196 2.900
I 2.196 2.196 0.000
O 0.000 2.196 2.900
O 2.196 0.000 2.900